No. 1
## Ce2H3S (PBE)

Data for Ce2H3S after structural relaxation.

Total DFT energy (no corrections) ... -5.300 eV per atom

```
data_Ce2H3S
_chemical_formula_sum 'Ce4 H6 S2'
_cell_length_a 3.9108
_cell_length_b 3.9108
_cell_length_c 13.3870
_cell_angle_alpha 90.00
_cell_angle_beta 90.00
_cell_angle_gamma 120.00
_space_group_name_H-M_alt 'P 63/m m c'
_space_group_IT_number 194
_space_group_name_Hall '-P 6c 2c'
loop_
_atom_site_label
_atom_site_type_symbol
_atom_site_fract_x
_atom_site_fract_y
_atom_site_fract_z
_atom_site_occupancy
Ce1 Ce 0.3333 0.6667 0.1115 1
H1 H 0.0000 0.0000 0.0000 1
H2 H 0.3333 0.6667 0.5689 1
S1 S 0.0000 0.0000 0.2500 1
```

No. 2
## CaZrI2N (PBE)

Data for CaZrI2N after structural relaxation.

Energy above the lowest structure with this stoichiometry ... 1.0766 eV/atom
Energy relative to the elements, uncorrected ... 0.514 eV/atom

```
data_CaZrI2N
_chemical_formula_sum 'Ca1 Zr1 I2 N1'
_cell_length_a 6.043
_cell_length_b 6.043
_cell_length_c 4.250
_cell_angle_alpha 90.00
_cell_angle_beta 90.00
_cell_angle_gamma 90.00
_space_group_name_H-M_alt 'P 4/m m m'
_space_group_IT_number 123
_space_group_name_Hall '-P 4 2'
loop_
_atom_site_label
_atom_site_type_symbol
_atom_site_fract_x
_atom_site_fract_y
_atom_site_fract_z
_atom_site_occupancy
Ca1 Ca 0.000 0.000 0.000 1
Zr1 Zr 0.500 0.500 0.500 1
I1 I 0.000 0.500 0.000 1
N1 N 0.000 0.000 0.500 1
```

No. 3
## Ca3Ag5F12 (PBE)

Data for Ca3Ag5F12 after structural relaxation.

Energy above the lowest structure with this stoichiometry ... 0.0000 eV/atom
Energy relative to the elements, uncorrected ... -2.264 eV/atom

```
data_Ca3Ag5F12
_chemical_formula_sum 'Ca3 Ag5 F12'
_cell_length_a 9.8620
_cell_length_b 9.8620
_cell_length_c 3.6255
_cell_angle_alpha 90.00
_cell_angle_beta 90.00
_cell_angle_gamma 120.00
_space_group_name_H-M_alt 'P -6 2 m'
_space_group_IT_number 189
_space_group_name_Hall 'P -6 -2'
loop_
_atom_site_label
_atom_site_type_symbol
_atom_site_fract_x
_atom_site_fract_y
_atom_site_fract_z
_atom_site_occupancy
Ca1 Ca 0.0000 0.3531 0.0000 1
Ag1 Ag 0.0000 0.7258 0.5000 1
Ag2 Ag 0.3333 0.6667 0.5000 1
F1 F 0.0000 0.1972 0.5000 1
F2 F 0.0000 0.4823 0.5000 1
F3 F 0.1972 0.7391 0.0000 1
```

No. 4
## Tb4Sm2Y2Tm (PBE)

Data for Tb4Sm2Y2Tm after structural relaxation.

ΔH_f (0 K) ... 0.000 eV/atom

```
data_Tb4Sm2Y2Tm
_chemical_formula_sum 'Tb8 Sm4 Y4 Tm2'
_cell_length_a 18.693
_cell_length_b 3.603
_cell_length_c 9.572
_cell_angle_alpha 90.00
_cell_angle_beta 115.69
_cell_angle_gamma 90.00
_space_group_name_H-M_alt 'C 1 2/m 1'
_space_group_IT_number 12
_space_group_name_Hall '-C 2y'
loop_
_atom_site_label
_atom_site_type_symbol
_atom_site_fract_x
_atom_site_fract_y
_atom_site_fract_z
_atom_site_occupancy
Tb1 Tb 0.019 0.000 0.333 1
Tb2 Tb 0.185 0.500 0.334 1
Sm1 Sm 0.166 0.000 0.000 1
Y1 Y 0.147 0.500 0.665 1
Tm1 Tm 0.000 0.500 0.000 1
```

No. 5
## Zr3Co2Rh2 (PBE)

Data for Zr3Co2Rh2 after structural relaxation.

ΔH_f (0 K) ... -0.482 eV/atom

```
data_Zr3Co2Rh2
_chemical_formula_sum 'Zr3 Co2 Rh2'
_cell_length_a 4.034
_cell_length_b 4.852
_cell_length_c 6.562
_cell_angle_alpha 92.65
_cell_angle_beta 90.03
_cell_angle_gamma 114.53
_space_group_name_H-M_alt 'P -1'
_space_group_IT_number 2
_space_group_name_Hall '-P 1'
loop_
_atom_site_label
_atom_site_type_symbol
_atom_site_fract_x
_atom_site_fract_y
_atom_site_fract_z
_atom_site_occupancy
Zr1 Zr 0.000 0.000 0.000 1
Zr2 Zr 0.353 0.707 0.343 1
Co1 Co 0.071 0.141 0.369 1
Rh1 Rh 0.311 0.621 0.856 1
```

No. 6
## Be3GaBr (PBE)

Data for Be3GaBr after structural relaxation.

Energy above the lowest structure with this stoichiometry ... 0.0000 eV/atom
Energy relative to the elements, uncorrected ... 0.645 eV/atom

```
data_Be3GaBr
_chemical_formula_sum 'Be3 Ga1 Br1'
_cell_length_a 4.432
_cell_length_b 4.432
_cell_length_c 4.432
_cell_angle_alpha 90.00
_cell_angle_beta 90.00
_cell_angle_gamma 90.00
_space_group_name_H-M_alt 'P m -3 m'
_space_group_IT_number 221
_space_group_name_Hall '-P 4 2 3'
loop_
_atom_site_label
_atom_site_type_symbol
_atom_site_fract_x
_atom_site_fract_y
_atom_site_fract_z
_atom_site_occupancy
Be1 Be 0.000 0.000 0.500 1
Ga1 Ga 0.000 0.000 0.000 1
Br1 Br 0.500 0.500 0.500 1
```

No. 7
## Cs2TlHg2 (PBE)

Data for Cs2TlHg2 after structural relaxation.

ΔH_f (0 K) ... -0.199 eV/atom
Energy above the lowest structure with this stoichiometry ... 0.0015 eV/atom

```
data_Cs2TlHg2
_chemical_formula_sum 'Cs4 Tl2 Hg4'
_cell_length_a 5.007
_cell_length_b 7.681
_cell_length_c 11.851
_cell_angle_alpha 90.00
_cell_angle_beta 90.00
_cell_angle_gamma 90.00
_space_group_name_H-M_alt 'I m m m'
_space_group_IT_number 71
_space_group_name_Hall '-I 2 2'
loop_
_atom_site_label
_atom_site_type_symbol
_atom_site_fract_x
_atom_site_fract_y
_atom_site_fract_z
_atom_site_occupancy
Cs1 Cs 0.000 0.000 0.195 1
Tl1 Tl 0.000 0.500 0.000 1
Hg1 Hg 0.000 0.253 0.500 1
```

No. 8
## Sr3CuPd2 (PBE)

Data for Sr3CuPd2 after structural relaxation.

ΔH_f (0 K) ... -0.450 eV/atom

```
data_Sr3CuPd2
_chemical_formula_sum 'Sr12 Cu4 Pd8'
_cell_length_a 12.320
_cell_length_b 4.458
_cell_length_c 12.361
_cell_angle_alpha 90.00
_cell_angle_beta 90.00
_cell_angle_gamma 90.00
_space_group_name_H-M_alt 'P n m a'
_space_group_IT_number 62
_space_group_name_Hall '-P 2ac 2n'
loop_
_atom_site_label
_atom_site_type_symbol
_atom_site_fract_x
_atom_site_fract_y
_atom_site_fract_z
_atom_site_occupancy
Sr1 Sr 0.057 0.250 0.125 1
Sr2 Sr 0.118 0.750 0.557 1
Sr3 Sr 0.208 0.250 0.805 1
Cu1 Cu 0.127 0.250 0.371 1
Pd1 Pd 0.031 0.750 0.315 1
Pd2 Pd 0.197 0.750 0.989 1
```

No. 9
## Be3Co5 (PBE)

Data for Be3Co5 after structural relaxation.

ΔH_f (0 K) ... -0.220 eV/atom
Energy above the lowest structure with this stoichiometry ... 0.0000 eV/atom

```
data_Be3Co5
_chemical_formula_sum 'Be3 Co5'
_cell_length_a 2.576
_cell_length_b 2.576
_cell_length_c 11.196
_cell_angle_alpha 90.00
_cell_angle_beta 90.00
_cell_angle_gamma 90.00
_space_group_name_H-M_alt 'P 4/m m m'
_space_group_IT_number 123
_space_group_name_Hall '-P 4 2'
loop_
_atom_site_label
_atom_site_type_symbol
_atom_site_fract_x
_atom_site_fract_y
_atom_site_fract_z
_atom_site_occupancy
Be1 Be 0.000 0.000 0.000 1
Be2 Be 0.500 0.500 0.387 1
Co1 Co 0.000 0.000 0.262 1
Co2 Co 0.000 0.000 0.500 1
Co3 Co 0.500 0.500 0.122 1
```

No. 10
## LaTcC2 (PBE)

Data for LaTcC2 after structural relaxation.

ΔH_f (0 K) ... 1.070 eV/atom
Energy above the lowest structure with this stoichiometry ... 1.1657 eV/atom

```
data_LaTcC2
_chemical_formula_sum 'La4 Tc4 C8'
_cell_length_a 5.973
_cell_length_b 5.973
_cell_length_c 5.973
_cell_angle_alpha 90.00
_cell_angle_beta 90.00
_cell_angle_gamma 90.00
_space_group_name_H-M_alt 'F m -3 m'
_space_group_IT_number 225
_space_group_name_Hall '-F 4 2 3'
loop_
_atom_site_label
_atom_site_type_symbol
_atom_site_fract_x
_atom_site_fract_y
_atom_site_fract_z
_atom_site_occupancy
La1 La 0.000 0.000 0.000 1
Tc1 Tc 0.000 0.000 0.500 1
C1 C 0.250 0.250 0.250 1
```

No. 11
## Nb3IrS6 (PBE)

Data for Nb3IrS6 after structural relaxation.

Energy relative to the elements, uncorrected ... -0.673 eV/atom

```
data_Nb3IrS6
_chemical_formula_sum 'Nb12 Ir4 S24'
_cell_length_a 9.898
_cell_length_b 12.289
_cell_length_c 5.955
_cell_angle_alpha 90.00
_cell_angle_beta 90.00
_cell_angle_gamma 90.00
_space_group_name_H-M_alt 'C m c 21'
_space_group_IT_number 36
_space_group_name_Hall 'C 2c -2'
loop_
_atom_site_label
_atom_site_type_symbol
_atom_site_fract_x
_atom_site_fract_y
_atom_site_fract_z
_atom_site_occupancy
Nb1 Nb 0.000 0.099 0.000 1
Nb2 Nb 0.147 0.382 0.092 1
Ir1 Ir 0.000 0.286 0.739 1
S1 S 0.000 0.267 0.324 1
S2 S 0.000 0.475 0.799 1
S3 S 0.165 0.030 0.298 1
S4 S 0.194 0.210 0.871 1
```

No. 12
## Tl2Sn2Pt (PBE)

Data for Tl2Sn2Pt after structural relaxation.

ΔH_f (0 K) ... -0.120 eV/atom

```
data_Tl2Sn2Pt
_chemical_formula_sum 'Tl4 Sn4 Pt2'
_cell_length_a 7.011
_cell_length_b 7.011
_cell_length_c 5.477
_cell_angle_alpha 90.00
_cell_angle_beta 90.00
_cell_angle_gamma 90.00
_space_group_name_H-M_alt 'P 4/m b m'
_space_group_IT_number 127
_space_group_name_Hall '-P 4 2ab'
loop_
_atom_site_label
_atom_site_type_symbol
_atom_site_fract_x
_atom_site_fract_y
_atom_site_fract_z
_atom_site_occupancy
Tl1 Tl 0.172 0.328 0.000 1
Sn1 Sn 0.150 0.650 0.500 1
Pt1 Pt 0.000 0.000 0.500 1
```

Values of N(E_F), in order: 27.142; 6.827; 19.335; 23.929; 5.331; 0.000; 6.582; 14.850; 5.056; 7.326; 1.525; 3.672, all in states/eV/cell.